Density functional theory data (PBE) for a relaxed TbBeAl crystal.

Lattice parameters (Å, degrees): 3.6153 4.2915 4.2915 120.00 90.00 90.00
With the nearest neighbours (Å) after each atom.
Element x y z (fractional)
Al 0.1667 0.3333 0.6667  3 Be 2.48
Be 0.1666 0.0000 0.0000  3 Al 2.48
Tb 0.6667 0.6667 0.3333  6 Be 3.07, 6 Al 3.07

Properties
Polymorph energy (0 for the lowest one) = 0 meV per atom
Formation energy from the elements = -72.1 kJ/mol of formula units
Symmetry = No. 187
Magnetic moment = 0.00 Bohr magnetons per cell

***

Density functional theory data (PBE) for a relaxed TbBeAl crystal.

Lattice parameters (Å, degrees): 4.0889 3.6567 8.0529 76.88 90.00 90.00
With the nearest neighbours (Å) after each atom.
Element x y z (fractional)
Be 0.7500 0.5401 0.9198  2 Be 2.40, 1 Al 2.62
Al 0.7500 0.7071 0.5857  1 Be 2.62
Tb 0.7500 0.9024 0.1952  6 Be 2.83-2.89, 1 Al 3.06
Be 0.2500 0.4599 0.0802  2 Be 2.40, 1 Al 2.62
Tb 0.2500 0.0976 0.8048  6 Be 2.83-2.89, 1 Al 3.06
Al 0.2500 0.2929 0.4143  1 Be 2.62

Properties
Polymorph energy (0 for the lowest one) = 212 meV per atom
Formation energy from the elements = -10.8 kJ/mol of formula units
Symmetry = No. 63
Magnetic moment = 0.00 Bohr magnetons per cell

***

Density functional theory data (PBE) for a relaxed Tb2BeAl crystal.

Lattice parameters (Å, degrees): 3.3729 3.3729 10.6727 80.91 80.91 60.00
With the nearest neighbours (Å) after each atom.
Element x y z (fractional)
Be 0.0000 0.0000 0.0000  2 Tb 2.92
Tb 0.9071 0.9071 0.2787  1 Be 2.92, 3 Al 3.03
Tb 0.0929 0.0929 0.7213  1 Be 2.92, 3 Al 3.03
Al 0.5000 0.5000 0.5000  6 Tb 3.03, 6 Al 3.37

Properties
Polymorph energy (0 for the lowest one) = 740 meV per atom
Formation energy from the elements = 226.7 kJ/mol of formula units
Symmetry = No. 166
Magnetic moment = 0.00 Bohr magnetons per cell

***

Density functional theory data (PBE) for a relaxed TbTmBeAl crystal.

Lattice parameters (Å, degrees): 4.9565 4.9565 4.9565 60.00 60.00 60.00
With the nearest neighbours (Å) after each atom.
Element x y z (fractional)
Tb 0.5000 0.5000 0.5000  4 Be 3.04, 4 Al 3.04
Be 0.2500 0.2500 0.2500  4 Tm 3.04, 4 Tb 3.04
Tm 0.0000 0.0000 0.0000  4 Al 3.04, 4 Be 3.04
Al 0.7500 0.7500 0.7500  4 Tm 3.04, 4 Tb 3.04

Properties
Formation energy from the elements = -50.9 kJ/mol of formula units
Symmetry = No. 216
Magnetic moment = 0.00 Bohr magnetons per cell

***

Density functional theory data (PBE) for a relaxed BeAlTc2 crystal.

Lattice parameters (Å, degrees): 2.6885 2.6885 8.3154 90.00 90.00 114.55
With the nearest neighbours (Å) after each atom.
Element x y z (fractional)
Be 0.5000 0.5000 0.7559  2 Tc 2.39, 2 Al 2.50
Al 0.0000 0.0000 0.5117  2 Be 2.50, 2 Tc 2.63, 4 Al 2.69
Tc 0.0000 0.0000 0.9848  2 Be 2.39, 2 Tc 2.62
Tc 0.5000 0.5000 0.2476  8 Tc 2.62-2.91, 2 Al 2.63

Properties
Polymorph energy (0 for the lowest one) = 438 meV per atom
Formation energy from the elements = 53.2 kJ/mol of formula units
Symmetry = No. 35
Magnetic moment = 0.00 Bohr magnetons per cell

***

Density functional theory data (PBE) for a relaxed BeAlTc2 crystal.

Lattice parameters (Å, degrees): 4.2006 4.2006 4.2006 60.00 60.00 60.00
With the nearest neighbours (Å) after each atom.
Element x y z (fractional)
Be 0.7500 0.7500 0.7500  4 Al 2.57, 4 Tc 2.57
Al 0.5000 0.5000 0.5000  4 Be 2.57, 4 Tc 2.57
Tc 0.2500 0.2500 0.2500  4 Tc 2.57, 4 Al 2.57
Tc 0.0000 0.0000 0.0000  4 Tc 2.57, 4 Be 2.57

Properties
Polymorph energy (0 for the lowest one) = 84 meV per atom
Formation energy from the elements = -83.3 kJ/mol of formula units
Symmetry = No. 216
Magnetic moment = 0.00 Bohr magnetons per cell

***

Density functional theory data (PBE) for a relaxed BeAlTc2 crystal.

Lattice parameters (Å, degrees): 4.7898 4.7898 4.2976 63.70 63.70 37.34
With the nearest neighbours (Å) after each atom.
Element x y z (fractional)
Tc 0.9878 0.9878 0.0123  2 Be 2.45, 2 Al 2.60, 4 Tc 2.65
Al 0.7500 0.7500 0.7500  8 Tc 2.60-2.88, 4 Be 2.64
Tc 0.5122 0.5122 0.4877  2 Be 2.45, 2 Al 2.60, 4 Tc 2.65
Be 0.2500 0.2500 0.2500  4 Tc 2.45, 4 Al 2.64

Properties
Polymorph energy (0 for the lowest one) = 208 meV per atom
Formation energy from the elements = -35.5 kJ/mol of formula units
Symmetry = No. 12
Magnetic moment = 0.00 Bohr magnetons per cell

***

Density functional theory data (PBE) for a relaxed Be2Al2Tc crystal.

Lattice parameters (Å, degrees): 3.1548 5.3117 7.8482 89.82 78.39 72.72
With the nearest neighbours (Å) after each atom.
Element x y z (fractional)
Be 0.5552 0.3353 0.0544  1 Be 1.91
Be 0.4448 0.6647 0.9456  1 Be 1.91
Tc 0.1582 0.3771 0.8066  6 Be 2.36-2.49
Al 0.8452 0.9550 0.8537  4 Be 2.29-2.40
Al 0.1548 0.0450 0.1463  4 Be 2.29-2.40
Tc 0.8418 0.6229 0.1934  6 Be 2.36-2.49
Al 0.3927 0.3239 0.3909  4 Be 2.41-2.63
Al 0.6073 0.6761 0.6091  4 Be 2.41-2.63
Be 0.8742 0.1566 0.5950  1 Be 2.09, 1 Al 2.29
Be 0.1258 0.8434 0.4050  1 Be 2.09, 1 Al 2.29

Properties
Polymorph energy (0 for the lowest one) = 0 meV per atom
Formation energy from the elements = -36.3 kJ/mol of formula units
Symmetry = No. 12
Magnetic moment = 0.00 Bohr magnetons per cell